PBE YMgNbFe, optimized geometry; energy above the lowest structure with this stoichiometry = 0.000 eV per atom; SG = F-43m (216); V = 19.17 Å³/atom
1.0
6.7436 0.0000 0.0000
0.0000 6.7436 0.0000
0.0000 0.0000 6.7436
Y Mg Nb Fe
4 4 4 4
Direct
0.0000 0.0000 0.0000
0.0000 0.5000 0.5000
0.5000 0.0000 0.5000
0.5000 0.5000 0.0000
0.2500 0.2500 0.2500
0.2500 0.7500 0.7500
0.7500 0.2500 0.7500
0.7500 0.7500 0.2500
0.0000 0.0000 0.5000
0.0000 0.5000 0.0000
0.5000 0.0000 0.0000
0.5000 0.5000 0.5000
0.2500 0.2500 0.7500
0.2500 0.7500 0.2500
0.7500 0.2500 0.2500
0.7500 0.7500 0.7500